(1)
DFT (PBE) results for a geometry-optimized CaPmAs2Rh2 structure.

Cell and atoms, written as CIF:
```
data_CaPmAs2Rh2
_chemical_formula_sum 'Ca1 Pm1 As2 Rh2'
_cell_length_a 4.2156
_cell_length_b 4.2156
_cell_length_c 8.2633
_cell_angle_alpha 90.00
_cell_angle_beta 90.00
_cell_angle_gamma 120.00
_space_group_name_H-M_alt 'P -3 m 1'
_space_group_IT_number 164
_space_group_name_Hall '-P 3 2"'
loop_
_atom_site_label
_atom_site_type_symbol
_atom_site_fract_x
_atom_site_fract_y
_atom_site_fract_z
Ca1 Ca 0.0000 0.0000 0.0000
Pm1 Pm 0.0000 0.0000 0.5000
As1 As 0.3333 0.6667 0.2500
Rh1 Rh 0.3333 0.6667 0.7443
```

***

(2)
DFT (PBE) results for a geometry-optimized Y2AgSn structure.

Cell and atoms, written as CIF:
```
data_Y2AgSn
_chemical_formula_sum 'Y4 Ag2 Sn2'
_cell_length_a 6.1798
_cell_length_b 4.5934
_cell_length_c 7.9256
_cell_angle_alpha 90.00
_cell_angle_beta 109.46
_cell_angle_gamma 90.00
_space_group_name_H-M_alt 'P 1 21/m 1'
_space_group_IT_number 11
loop_
_space_group_symop_operation_xyz
'x,y,z'
'-x,-y,-z'
'-x,y+1/2,-z'
'x,-y+1/2,z'
loop_
_atom_site_label
_atom_site_type_symbol
_atom_site_fract_x
_atom_site_fract_y
_atom_site_fract_z
Y1 Y 0.2036 0.2500 0.4338
Y2 Y 0.2069 0.2500 0.9169
Ag1 Ag 0.3417 0.7500 0.7084
Sn1 Sn 0.3339 0.7500 0.2093
```

***

(3)
DFT (PBE) results for a geometry-optimized La9PmTh4 structure.

Cell and atoms, written as CIF:
```
data_La9PmTh4
_chemical_formula_sum 'La18 Pm2 Th8'
_cell_length_a 10.2601
_cell_length_b 10.2601
_cell_length_c 11.0940
_cell_angle_alpha 90.00
_cell_angle_beta 90.00
_cell_angle_gamma 120.00
_space_group_name_H-M_alt 'P 63/m m c'
_space_group_IT_number 194
_space_group_name_Hall '-P 6c 2c'
loop_
_atom_site_label
_atom_site_type_symbol
_atom_site_fract_x
_atom_site_fract_y
_atom_site_fract_z
La1 La 0.0838 0.5419 0.2500
La2 La 0.1977 0.3954 0.5452
Pm1 Pm 0.3333 0.6667 0.7500
Th1 Th 0.0000 0.0000 0.0000
Th2 Th 0.1113 0.2226 0.2500
```

***

(4)
DFT (PBE) results for a geometry-optimized Ba2AgSnO5 structure.

Cell and atoms, written as CIF:
```
data_Ba2AgSnO5
_chemical_formula_sum 'Ba8 Ag4 Sn4 O20'
_cell_length_a 3.4193
_cell_length_b 16.2807
_cell_length_c 10.9373
_cell_angle_alpha 90.00
_cell_angle_beta 90.00
_cell_angle_gamma 90.00
_space_group_name_H-M_alt 'C m c 21'
_space_group_IT_number 36
loop_
_space_group_symop_operation_xyz
'x,y,z'
'-x,-y,z+1/2'
'-x,y,z'
'x,-y,z+1/2'
'x+1/2,y+1/2,z'
'-x+1/2,-y+1/2,z+1/2'
'-x+1/2,y+1/2,z'
'x+1/2,-y+1/2,z+1/2'
loop_
_atom_site_label
_atom_site_type_symbol
_atom_site_fract_x
_atom_site_fract_y
_atom_site_fract_z
Ba1 Ba 0.0000 0.1176 0.0000
Ba2 Ba 0.0000 0.1278 0.6086
Ag1 Ag 0.0000 0.4555 0.7619
Sn1 Sn 0.0000 0.2190 0.3174
O1 O 0.0000 0.0909 0.3572
O2 O 0.0000 0.2801 0.9450
O3 O 0.0000 0.2965 0.6907
O4 O 0.0000 0.3445 0.3084
O5 O 0.0000 0.4996 0.0831
```

Output
The uncorrected formation energy is -1.6659 eV/atom.

***

(5)
DFT (PBE) results for a geometry-optimized Cs3Tl2Bi4Pb2 structure.

Cell and atoms, written as CIF:
```
data_Cs3Tl2Bi4Pb2
_chemical_formula_sum 'Cs3 Tl2 Bi4 Pb2'
_cell_length_a 5.4484
_cell_length_b 5.4484
_cell_length_c 20.3478
_cell_angle_alpha 90.00
_cell_angle_beta 90.00
_cell_angle_gamma 120.00
_space_group_name_H-M_alt 'P -3 m 1'
_space_group_IT_number 164
_space_group_name_Hall '-P 3 2"'
loop_
_atom_site_label
_atom_site_type_symbol
_atom_site_fract_x
_atom_site_fract_y
_atom_site_fract_z
Cs1 Cs 0.0000 0.0000 0.0000
Cs2 Cs 0.0000 0.0000 0.2822
Tl1 Tl 0.3333 0.6667 0.1429
Bi1 Bi 0.3333 0.6667 0.4041
Bi2 Bi 0.3333 0.6667 0.8585
Pb1 Pb 0.3333 0.6667 0.5572
```

***

(6)
DFT (PBE) results for a geometry-optimized BiPb2Au2 structure.

Cell and atoms, written as CIF:
```
data_BiPb2Au2
_chemical_formula_sum 'Bi2 Pb4 Au4'
_cell_length_a 3.9373
_cell_length_b 3.9373
_cell_length_c 17.7034
_cell_angle_alpha 90.00
_cell_angle_beta 90.00
_cell_angle_gamma 90.00
_space_group_name_H-M_alt 'I 4/m m m'
_space_group_IT_number 139
_space_group_name_Hall '-I 4 2'
loop_
_atom_site_label
_atom_site_type_symbol
_atom_site_fract_x
_atom_site_fract_y
_atom_site_fract_z
Bi1 Bi 0.0000 0.0000 0.0000
Pb1 Pb 0.0000 0.0000 0.3897
Au1 Au 0.0000 0.5000 0.2500
```

Output
The calculation puts the energy above the most stable polymorph in this dataset at 90 meV per atom.

***

Let's list total DFT energy (no corrections) in order: -6.077 -5.497 -5.511 -5.609 -2.938 -3.544 eV per atom.